Entry 1:
## Pu4PdPtAu2 (PBE)

Data for a relaxed structure of Pu4PdPtAu2.

Total magnetization, μB/f.u.: 22.80
Calculated volume, Å³ per cell: 183.4
Total energy, eV per atom: -9.86
Energy of formation from the pure elements, eV per formula unit: -3.753

Geometry as CIF:
```
data_Pu4PdPtAu2
_cell_length_a 5.074
_cell_length_b 5.074
_cell_length_c 8.732
_cell_angle_alpha 73.11
_cell_angle_beta 73.11
_cell_angle_gamma 60.00
_symmetry_space_group_name_H-M 'P 1'
_symmetry_Int_Tables_number 1
_symmetry_space_group_name_Hall 'P 1'
loop_
_atom_site_label
_atom_site_type_symbol
_atom_site_fract_x
_atom_site_fract_y
_atom_site_fract_z
Au1 Au 0.254 0.254 0.237
Au2 Au 0.746 0.746 0.763
Pu1 Pu 0.622 0.622 0.135
Pu2 Pu 0.378 0.378 0.865
Pu3 Pu 0.872 0.872 0.384
Pu4 Pu 0.128 0.128 0.616
Pt1 Pt 0.500 0.500 0.500
Pd1 Pd 0.000 0.000 0.000
```

---

Entry 2:
## Ca2HfNi (PBE)

Data for a relaxed structure of Ca2HfNi.

Total magnetization, μB/f.u.: 0.00
Calculated volume, Å³ per cell: 247.7
Total energy, eV per atom: -4.50
Energy of formation from the pure elements, eV per formula unit: 1.753

Geometry as CIF:
```
data_Ca2HfNi
_cell_length_a 10.146
_cell_length_b 10.146
_cell_length_c 7.567
_cell_angle_alpha 47.90
_cell_angle_beta 47.90
_cell_angle_gamma 90.00
_symmetry_space_group_name_H-M 'P 1'
_symmetry_Int_Tables_number 1
_symmetry_space_group_name_Hall 'P 1'
loop_
_atom_site_label
_atom_site_type_symbol
_atom_site_fract_x
_atom_site_fract_y
_atom_site_fract_z
Ca1 Ca 0.265 0.625 0.250
Ca2 Ca 0.485 0.125 0.250
Ca3 Ca 0.375 0.515 0.750
Hf1 Hf 0.750 0.250 0.500
Ca4 Ca 0.875 0.735 0.750
Ni1 Ni 0.500 0.500 0.000
Ni2 Ni 0.250 0.750 0.500
Hf2 Hf 0.000 0.000 0.000
```

---

Entry 3:
## B5C7 (PBE)

Data for a relaxed structure of B5C7.

Total magnetization, μB/f.u.: 0.00
Calculated volume, Å³ per cell: 76.7
Total energy, eV per atom: -7.81
Energy of formation from the pure elements, eV per formula unit: 4.232

Geometry as CIF:
```
data_B5C7
_cell_length_a 4.510
_cell_length_b 4.461
_cell_length_c 5.390
_cell_angle_alpha 99.38
_cell_angle_beta 99.76
_cell_angle_gamma 46.02
_symmetry_space_group_name_H-M 'P 1'
_symmetry_Int_Tables_number 1
_symmetry_space_group_name_Hall 'P 1'
loop_
_atom_site_label
_atom_site_type_symbol
_atom_site_fract_x
_atom_site_fract_y
_atom_site_fract_z
B1 B 0.591 0.156 0.428
C1 C 0.658 0.662 0.826
B2 B 0.242 0.716 0.280
C2 C 0.040 0.019 0.528
B3 B 0.715 0.679 0.327
C3 C 0.563 0.064 0.892
C4 C 0.871 0.408 0.063
B4 B 0.979 0.981 0.998
C5 C 0.255 0.746 0.749
C6 C 0.939 0.427 0.589
B5 B 0.309 0.295 0.140
C7 C 0.338 0.347 0.679
```

---

Entry 4:
## NpAl10Ir2 (PBE)

Data for a relaxed structure of NpAl10Ir2.

Total magnetization, μB/f.u.: 4.52
Calculated volume, Å³ per cell: 425.0
Total energy, eV per atom: -5.70
Energy of formation from the pure elements, eV per formula unit: -5.999

Geometry as CIF:
```
data_NpAl10Ir2
_cell_length_a 6.845
_cell_length_b 6.845
_cell_length_c 9.145
_cell_angle_alpha 90.00
_cell_angle_beta 90.00
_cell_angle_gamma 97.34
_symmetry_space_group_name_H-M 'P 1'
_symmetry_Int_Tables_number 1
_symmetry_space_group_name_Hall 'P 1'
loop_
_atom_site_label
_atom_site_type_symbol
_atom_site_fract_x
_atom_site_fract_y
_atom_site_fract_z
Al1 Al 0.217 0.217 0.500
Ir1 Ir 0.500 0.000 0.500
Al2 Al 0.783 0.783 0.000
Al3 Al 0.621 0.379 0.556
Al4 Al 0.157 0.843 0.897
Ir2 Ir 0.000 0.500 0.000
Np1 Np 0.881 0.119 0.750
Al5 Al 0.479 0.224 0.250
Al6 Al 0.141 0.406 0.250
Al7 Al 0.224 0.479 0.750
Al8 Al 0.843 0.157 0.103
Al9 Al 0.621 0.379 0.944
Ir3 Ir 0.000 0.500 0.500
Al10 Al 0.379 0.621 0.444
Ir4 Ir 0.500 0.000 0.000
Al11 Al 0.843 0.157 0.397
Al12 Al 0.783 0.783 0.500
Al13 Al 0.594 0.859 0.250
Al14 Al 0.379 0.621 0.056
Np2 Np 0.119 0.881 0.250
Al15 Al 0.859 0.594 0.750
Al16 Al 0.776 0.521 0.250
Al17 Al 0.521 0.776 0.750
Al18 Al 0.157 0.843 0.603
Al19 Al 0.217 0.217 0.000
Al20 Al 0.406 0.141 0.750
```

---

Entry 5:
## LaDy4Er10 (PBE)

Data for a relaxed structure of LaDy4Er10.

Total magnetization, μB/f.u.: 0.00
Calculated volume, Å³ per cell: 529.6
Total energy, eV per atom: -4.04
Energy of formation from the pure elements, eV per formula unit: 8.412

Geometry as CIF:
```
data_LaDy4Er10
_cell_length_a 9.613
_cell_length_b 9.613
_cell_length_c 9.613
_cell_angle_alpha 96.48
_cell_angle_beta 96.48
_cell_angle_gamma 140.73
_symmetry_space_group_name_H-M 'P 1'
_symmetry_Int_Tables_number 1
_symmetry_space_group_name_Hall 'P 1'
loop_
_atom_site_label
_atom_site_type_symbol
_atom_site_fract_x
_atom_site_fract_y
_atom_site_fract_z
Dy1 Dy 0.674 0.567 0.241
Dy2 Dy 0.433 0.674 0.106
La1 La 0.000 0.000 0.000
Er1 Er 0.880 0.042 0.421
Er2 Er 0.750 0.250 0.500
Dy3 Dy 0.326 0.433 0.759
Er3 Er 0.621 0.459 0.579
Er4 Er 0.042 0.621 0.162
Er5 Er 0.541 0.120 0.162
Er6 Er 0.120 0.958 0.579
Er7 Er 0.379 0.541 0.421
Er8 Er 0.459 0.880 0.838
Er9 Er 0.250 0.750 0.500
Dy4 Dy 0.567 0.326 0.894
Er10 Er 0.958 0.379 0.838
```

---

Entry 6:
## Bi3B2O8 (PBE)

Data for a relaxed structure of Bi3B2O8.

Total magnetization, μB/f.u.: 0.00
Calculated volume, Å³ per cell: 148.9
Total energy, eV per atom: -6.50
Formation energy without anion corrections, kJ per mole of atoms: -147.0

Geometry as CIF:
```
data_Bi3B2O8
_cell_length_a 5.152
_cell_length_b 5.152
_cell_length_c 7.127
_cell_angle_alpha 68.81
_cell_angle_beta 68.81
_cell_angle_gamma 60.00
_symmetry_space_group_name_H-M 'P 1'
_symmetry_Int_Tables_number 1
_symmetry_space_group_name_Hall 'P 1'
loop_
_atom_site_label
_atom_site_type_symbol
_atom_site_fract_x
_atom_site_fract_y
_atom_site_fract_z
O1 O 0.731 0.731 0.276
O2 O 0.269 0.739 0.724
O3 O 0.261 0.731 0.276
O4 O 0.675 0.675 0.974
B1 B 0.600 0.600 0.199
O5 O 0.731 0.261 0.276
Bi1 Bi 0.782 0.782 0.654
Bi2 Bi 0.000 0.000 0.000
O6 O 0.739 0.269 0.724
B2 B 0.400 0.400 0.801
O7 O 0.325 0.325 0.026
O8 O 0.269 0.269 0.724
Bi3 Bi 0.218 0.218 0.346
```

---

Entry 7:
## SrCu2Pd2 (PBE)

Data for a relaxed structure of SrCu2Pd2.

Total magnetization, μB/f.u.: 0.00
Calculated volume, Å³ per cell: 173.7
Total energy, eV per atom: -4.24
Energy of formation from the pure elements, eV per formula unit: -0.960

Geometry as CIF:
```
data_SrCu2Pd2
_cell_length_a 7.580
_cell_length_b 7.580
_cell_length_c 3.024
_cell_angle_alpha 90.00
_cell_angle_beta 90.00
_cell_angle_gamma 90.00
_symmetry_space_group_name_H-M 'P 1'
_symmetry_Int_Tables_number 1
_symmetry_space_group_name_Hall 'P 1'
loop_
_atom_site_label
_atom_site_type_symbol
_atom_site_fract_x
_atom_site_fract_y
_atom_site_fract_z
Sr1 Sr 0.000 0.000 0.000
Cu1 Cu 0.882 0.618 0.000
Cu2 Cu 0.118 0.382 0.000
Cu3 Cu 0.618 0.118 0.000
Pd1 Pd 0.827 0.327 0.500
Pd2 Pd 0.673 0.827 0.500
Pd3 Pd 0.173 0.673 0.500
Sr2 Sr 0.500 0.500 0.000
Cu4 Cu 0.382 0.882 0.000
Pd4 Pd 0.327 0.173 0.500
```

---

Entry 8:
## DyErTh2As4 (PBE)

Data for a relaxed structure of DyErTh2As4.

Total magnetization, μB/f.u.: 0.00
Calculated volume, Å³ per cell: 206.3
Total energy, eV per atom: -6.79
Energy of formation from the pure elements, eV per formula unit: -11.694

Geometry as CIF:
```
data_DyErTh2As4
_cell_length_a 4.192
_cell_length_b 7.199
_cell_length_c 7.261
_cell_angle_alpha 70.30
_cell_angle_beta 90.00
_cell_angle_gamma 90.00
_symmetry_space_group_name_H-M 'P 1'
_symmetry_Int_Tables_number 1
_symmetry_space_group_name_Hall 'P 1'
loop_
_atom_site_label
_atom_site_type_symbol
_atom_site_fract_x
_atom_site_fract_y
_atom_site_fract_z
Th1 Th 0.500 0.000 0.500
Th2 Th 0.000 0.000 0.000
As1 As 0.500 0.260 0.746
Dy1 Dy 0.500 0.500 0.000
Er1 Er 0.000 0.500 0.500
As2 As 0.000 0.259 0.248
As3 As 0.500 0.740 0.254
As4 As 0.000 0.741 0.752
```